Entry 1:
This record from Alexandria via LeMat-Bulk describes NdYErTm after structural relaxation. The functional is PBE.

```
NdYErTm
1.0
-4.2621 -1.9926 -1.8455
0.7713 -4.1792 2.7309
-0.8351 5.0899 3.3530
Nd Y Er Tm
1 1 1 1
direct
0.3700 0.8700 0.7399
0.1197 0.1197 0.2395
0.8696 0.3696 0.7393
0.6198 0.6198 0.2396
```


Entry 2:
This record from Alexandria via LeMat-Bulk describes Nd2YEr2Tm after structural relaxation. The functional is PBE.

```
Nd2YEr2Tm
1.0
-3.7682 0.1795 -5.6648
-1.8976 -8.6165 0.9927
-5.0849 2.2123 3.4542
Nd Y Er Tm
4 2 4 2
direct
0.2500 0.1475 0.6750
0.2501 0.5221 0.5846
0.7500 0.8525 0.3250
0.7499 0.4779 0.4154
0.7500 0.1574 0.6880
0.2500 0.8426 0.3120
0.4981 0.1683 0.1714
0.0018 0.1684 0.1714
0.9982 0.8316 0.8286
0.5019 0.8317 0.8286
0.2500 0.4912 0.0696
0.7500 0.5088 0.9304
```


Entry 3:
This record from Alexandria via LeMat-Bulk describes NdY3ErTm after structural relaxation. The functional is PBE.

```
NdY3ErTm
1.0
5.0415 0.0000 0.0000
-2.5207 7.5650 0.0000
0.0000 0.0000 10.0821
Nd Y Er Tm
2 6 2 2
direct
0.0000 0.0000 0.5000
0.0000 0.0000 0.0000
0.6670 0.3340 0.4996
0.3330 0.6660 0.5004
0.3330 0.6660 0.9996
0.6670 0.3340 0.0004
0.1668 0.3337 0.7500
0.8332 0.6663 0.2500
0.4992 0.9983 0.7500
0.5008 0.0017 0.2500
0.8338 0.6676 0.7500
0.1662 0.3324 0.2500
```


| no. | VASP energy (eV/atom) | N(E_F) (states/eV per atom) |
| --- | --- | --- |
| 1 | -5.040 | 1.528 |
| 2 | -4.793 | 1.638 |
| 3 | -5.508 | 1.439 |